# 1
Computed, not measured: crystalline Mg2Tl3PdF9 at its relaxed geometry at the PBE level of DFT.

a b c (Å): 5.9549 5.9549 7.3300
angles (deg): 90.00 90.00 120.00
Space group P-3m1 (No. 164)
Unique sites:
Mg: 0.3333 0.6667 0.1529 x2
Tl: 0.0000 0.0000 0.0000 x1
Tl: 0.3333 0.6667 0.6587 x2
Pd: 0.0000 0.0000 0.5000 x1
F: 0.0000 0.5000 0.0000 x3
F: 0.1741 0.3483 0.3209 x6

# 2
Computed, not measured: crystalline MgZnPdF6 at its relaxed geometry at the PBE level of DFT.

a b c (Å): 5.3118 5.3118 9.2750
angles (deg): 90.00 90.00 120.00
Space group P-31c (No. 163)
Unique sites:
Mg: 0.3333 0.6667 0.2500 x2
Zn: 0.3333 0.6667 0.7500 x2
Pd: 0.0000 0.0000 0.0000 x2
F: 0.0069 0.3521 0.1343 x12

# 3
Computed, not measured: crystalline PmMgF4 at its relaxed geometry at the PBE level of DFT.

a b c (Å): 7.364 11.165 4.948
angles (deg): 90.00 125.79 90.00
Space group C2/c (No. 15)
Unique sites:
Pm: 0.000 0.125 0.250 x4
Mg: 0.000 0.408 0.750 x4
F: 0.156 0.294 0.642 x8
F: 0.200 0.465 0.232 x8

Computed properties:
- DOS at the Fermi energy: 1.3 states/eV/f.u.

# 4
Computed, not measured: crystalline Pm3Mg5F12 at its relaxed geometry at the PBE level of DFT.

a b c (Å): 13.739 13.739 13.739
angles (deg): 90.00 90.00 90.00
Space group Ia-3d (No. 230)
Unique sites:
Pm: 0.000 0.250 0.125 x24
Mg: 0.000 0.000 0.000 x16
Mg: 0.000 0.250 0.375 x24
F: 0.024 0.081 0.625 x96

Computed properties:
- DOS at the Fermi energy: 3.8 states/eV/f.u.

# 5
Computed, not measured: crystalline Pm3MgF at its relaxed geometry at the PBE level of DFT.

a b c (Å): 5.047 5.047 5.047
angles (deg): 90.00 90.00 90.00
Space group Pm-3m (No. 221)
Unique sites:
Pm: 0.000 0.000 0.500 x3
Mg: 0.500 0.500 0.500 x1
F: 0.000 0.000 0.000 x1

Computed properties:
- DOS at the Fermi energy: 3.8 states/eV/f.u.

# 6
Computed, not measured: crystalline PmMg2F8 at its relaxed geometry at the PBE level of DFT.

a b c (Å): 5.190 5.190 11.094
angles (deg): 90.00 90.00 90.00
Space group I422 (No. 97)
Unique sites:
Pm: 0.000 0.000 0.000 x2
Mg: 0.000 0.500 0.250 x4
F: 0.202 0.285 0.865 x16

Computed properties:
- DOS at the Fermi energy: 9.0 states/eV/f.u.

Energy relative to the elements, uncorrected readings, ordered: -2352.2, -2286.7, -3426.3, -2814.3, -967.0, -3238.9 meV/atom
Total moment readings, ordered: 2.0, 2.0, 0.2, 0.0, 0.0, 1.1 μB per formula unit